(1)
Density functional theory data (GGA-PBE) for an optimized crystal structure of Ni7SnSb2Pt2.

The structure in POSCAR format:
```
Ni7SnSb2Pt2
1.0
2.5472 -2.5462 0.0000
2.5472 2.5462 0.0000
-2.3666 0.0000 13.7742
Ni Sn Sb Pt
7 1 2 2
direct
0.0000 0.0000 0.0000
0.0645 0.5646 0.1385
0.2315 0.2315 0.4658
0.4354 0.9355 0.8615
0.5646 0.0645 0.1385
0.7685 0.7685 0.5342
0.9355 0.4354 0.8615
0.5000 0.5000 0.0000
0.3338 0.3338 0.6431
0.6662 0.6662 0.3569
0.1269 0.1269 0.2734
0.8731 0.8731 0.7266
```

Calculated values
* raw formation energy: -0.0518 eV/atom

=====

(2)
Density functional theory data (GGA-PBE) for an optimized crystal structure of Ni7Sn2Sb2Pt.

The structure in POSCAR format:
```
Ni7Sn2Sb2Pt
1.0
2.5581 -2.5585 0.0000
2.5581 2.5585 0.0000
-2.5425 0.0000 15.5584
Ni Sn Sb Pt
7 2 2 1
direct
0.0000 0.0000 0.0000
0.0598 0.5602 0.1203
0.1969 0.1969 0.3928
0.4398 0.9402 0.8797
0.5602 0.0598 0.1203
0.8031 0.8031 0.6072
0.9402 0.4398 0.8797
0.2844 0.2844 0.5688
0.7156 0.7156 0.4312
0.1166 0.1166 0.2331
0.8834 0.8834 0.7669
0.5000 0.5000 0.0000
```

Calculated values
* raw formation energy: -0.0865 eV/atom